No. 1
Material: Ti2Al3
Method: DFT, PBE-GGA
State: optimized geometry

Calculated values
Formation enthalpy at 0 K (meV/atom): -316.3

a b c (Å): 3.6514 5.0866 5.0545
angles (deg): 78.26 68.83 68.97
With the nearest neighbours (Å) after each atom.
Atoms (fractional coordinates):
Ti  0.3997  0.8974  0.3031  8 Al 2.73-3.04, 3 Ti 2.83-2.94
Ti  0.6003  0.1026  0.6969  8 Al 2.73-3.04, 3 Ti 2.83-2.94
Al  0.7955  0.3055  0.1035  5 Al 2.72-2.91, 6 Ti 2.77-3.04
Al  0.0000  0.5000  0.5000  4 Ti 2.73, 6 Al 2.82-2.91
Al  0.2045  0.6945  0.8965  5 Al 2.72-2.91, 6 Ti 2.77-3.04

No. 2
Material: TbDy3Tm6Th2
Method: DFT, PBE-GGA
State: optimized geometry

Calculated values
Formation enthalpy at 0 K (meV/atom): 24.2

a b c (Å): 6.1141 6.1141 11.6251
angles (deg): 95.04 95.04 119.96
With the nearest neighbours (Å) after each atom.
Atoms (fractional coordinates):
Tb  0.0000  0.0000  0.0000  6 Tm 3.51, 6 Th 3.53
Dy  0.1663  0.8337  0.5000  6 Tm 3.52-3.54, 6 Dy 3.52-3.53
Dy  0.8337  0.1663  0.5000  6 Tm 3.52-3.54, 6 Dy 3.52-3.53
Dy  0.5000  0.5000  0.5000  6 Tm 3.52-3.53, 6 Dy 3.53
Tm  0.9168  0.5796  0.7517  2 Th 3.49, 6 Tm 3.51-3.57, 1 Tb 3.51, 3 Dy 3.52-3.54
Tm  0.7459  0.7459  0.2485  2 Th 3.49, 6 Tm 3.51-3.57, 1 Tb 3.51, 3 Dy 3.52-3.53
Tm  0.0832  0.4204  0.2483  2 Th 3.49, 6 Tm 3.51-3.57, 1 Tb 3.51, 3 Dy 3.52-3.54
Tm  0.5796  0.9168  0.7517  2 Th 3.49, 6 Tm 3.51-3.57, 1 Tb 3.51, 3 Dy 3.52-3.54
Tm  0.2541  0.2541  0.7515  2 Th 3.49, 6 Tm 3.51-3.57, 1 Tb 3.51, 3 Dy 3.52-3.53
Tm  0.4204  0.0832  0.2483  2 Th 3.49, 6 Tm 3.51-3.57, 1 Tb 3.51, 3 Dy 3.52-3.54
Th  0.3333  0.6667  0.0000  6 Tm 3.49, 3 Tb 3.53, 3 Th 3.53
Th  0.6667  0.3333  0.0000  6 Tm 3.49, 3 Tb 3.53, 3 Th 3.53

No. 3
Material: ZrReSe3
Method: DFT, PBE-GGA
State: optimized geometry

Calculated values
Energy above the lowest structure with this stoichiometry (eV/f.u.): 0.00

a b c (Å): 4.8733 4.8733 4.8733
angles (deg): 90.00 90.00 90.00
With the nearest neighbours (Å) after each atom.
Atoms (fractional coordinates):
Re  0.0000  0.0000  0.0000  6 Se 2.44
Se  0.0000  0.5000  0.0000  2 Re 2.44
Se  0.0000  0.0000  0.5000  2 Re 2.44
Se  0.5000  0.0000  0.0000  2 Re 2.44
Zr  0.5000  0.5000  0.5000  12 Se 3.45

No. 4
Material: Ta2PtN
Method: DFT, PBE-GGA
State: optimized geometry

a b c (Å): 5.1222 5.1222 6.5417
angles (deg): 66.95 66.95 90.00
With the nearest neighbours (Å) after each atom.
Atoms (fractional coordinates):
N  0.5000  0.5000  0.0000  4 Ta 2.04
N  0.2500  0.7500  0.5000  4 Ta 2.04
Pt  0.0000  0.0000  0.0000  4 Ta 2.55
Pt  0.7500  0.2500  0.5000  4 Ta 2.55
Ta  0.5353  0.1250  0.2500  2 N 2.04
Ta  0.2147  0.6250  0.2500  2 N 2.04
Ta  0.3750  0.4647  0.7500  2 N 2.04
Ta  0.8750  0.7853  0.7500  2 N 2.04

No. 5
Material: Ce4SnRh2
Method: DFT, PBE-GGA
State: optimized geometry

Calculated values
Formation enthalpy at 0 K (meV/atom): -475.8

a b c (Å): 4.4172 4.4172 11.3473
angles (deg): 78.78 78.78 60.00
With the nearest neighbours (Å) after each atom.
Atoms (fractional coordinates):
Ce  0.3895  0.3895  0.8315  3 Rh 2.90, 3 Sn 3.16
Ce  0.1958  0.1958  0.4126  3 Rh 2.87, 3 Ce 3.20
Ce  0.8042  0.8042  0.5874  3 Rh 2.87, 3 Ce 3.20
Ce  0.6105  0.6105  0.1685  3 Rh 2.90, 3 Sn 3.16
Sn  0.0000  0.0000  0.0000  6 Ce 3.16, 2 Rh 3.24
Rh  0.0976  0.0976  0.7071  6 Ce 2.87-2.90
Rh  0.9024  0.9024  0.2929  6 Ce 2.87-2.90

No. 6
Material: FeCuPb2
Method: DFT, PBE-GGA
State: optimized geometry

Calculated values
Formation enthalpy at 0 K (meV/atom): 555.0
Energy above the lowest structure with this stoichiometry (eV/f.u.): 0.89

a b c (Å): 4.6208 4.6208 5.7962
angles (deg): 77.41 77.41 44.26
With the nearest neighbours (Å) after each atom.
Atoms (fractional coordinates):
Cu  0.7500  0.7500  0.7500  6 Pb 2.85-2.90
Fe  0.2500  0.2500  0.2500  6 Pb 2.84-2.85
Pb  0.9968  0.9968  0.0059  3 Fe 2.84-2.85, 3 Cu 2.85-2.90
Pb  0.5032  0.5032  0.4941  3 Fe 2.84-2.85, 3 Cu 2.85-2.90

No. 7
Material: La2MgMnS5
Method: DFT, PBE-GGA
State: optimized geometry

a b c (Å): 3.9205 8.5103 11.6473
angles (deg): 90.00 90.00 103.32
With the nearest neighbours (Å) after each atom.
Atoms (fractional coordinates):
La  0.8761  0.7523  0.8329  8 S 2.93-3.27
La  0.1234  0.2468  0.6991  7 S 2.94-3.00
La  0.1239  0.2477  0.3329  8 S 2.93-3.27
La  0.8766  0.7532  0.1991  7 S 2.94-3.00
Mg  0.8060  0.6120  0.5246  6 S 2.51-2.70
Mg  0.1940  0.3880  0.0246  6 S 2.51-2.70
Mn  0.5573  0.1146  0.9394  4 S 2.15-2.28
Mn  0.4427  0.8854  0.4394  4 S 2.15-2.28
S  0.3455  0.6909  0.0142  1 Mg 2.51
S  0.6854  0.3708  0.8671  1 Mn 2.28
S  0.4997  0.9994  0.7665  1 Mn 2.23
S  0.3034  0.6068  0.6743  2 Mg 2.62
S  0.9685  0.9369  0.5059  2 Mn 2.15
S  0.6545  0.3091  0.5142  1 Mg 2.51
S  0.3146  0.6292  0.3671  1 Mn 2.28
S  0.5003  0.0006  0.2665  1 Mn 2.23
S  0.6966  0.3932  0.1743  2 Mg 2.62
S  0.0315  0.0631  0.0059  2 Mn 2.15

Number 1: final energy -5.720 eV/atom, V 16.283 A^3/atom. Number 2: final energy -4.985 eV/atom, V 30.887 A^3/atom. Number 3: final energy -5.839 eV/atom, V 23.148 A^3/atom. Number 4: final energy -9.897 eV/atom, V 17.866 A^3/atom. Number 5: final energy -6.539 eV/atom, V 26.691 A^3/atom. Number 6: final energy -4.439 eV/atom, V 20.986 A^3/atom. Number 7: final energy -6.100 eV/atom, V 21.009 A^3/atom.